DFT (PBE-GGA) results for an optimized crystal structure of SmMgAu.

The structure in CIF format:
```
data_SmMgAu
_chemical_formula_sum 'Sm1 Mg1 Au1'
_cell_length_a 4.7912
_cell_length_b 4.7912
_cell_length_c 3.5976
_cell_angle_alpha 90.00
_cell_angle_beta 90.00
_cell_angle_gamma 120.00
_symmetry_space_group_name_H-M 'P -6 m 2'
_symmetry_Int_Tables_number 187
_symmetry_space_group_name_Hall 'P -6 2'
loop_
_atom_site_label
_atom_site_fract_x
_atom_site_fract_y
_atom_site_fract_z
_atom_site_occupancy
Sm1 0.0000 0.0000 0.0000 1
Mg1 0.6667 0.3333 0.5000 1
Au1 0.3333 0.6667 0.5000 1
```

Output
final energy = -0.1366 Ha/atom